Here is a relaxed GdY2Mg3ZnGa2 crystal from the Open Quantum Materials Database. Energies are from PBE.

abc: 4.3999 12.6991 7.3226
angles: 90.00 90.00 90.00
Closest atoms and distances in Å follow each position.
Space group Amm2 (No. 38)
Inequivalent atoms, fractional coordinates:
Gd1 0.0000 0.0000 0.0000  1 Zn 3.09, 4 Ga 3.11, 2 Mg 3.30
Y1 0.0000 0.2108 0.3676  1 Zn 3.09, 4 Ga 3.10-3.11, 2 Mg 3.30
Mg1 0.5000 0.0000 0.3354  2 Zn 2.83, 2 Ga 2.83, 2 Mg 3.08
Mg2 0.5000 0.1215 0.6998  2 Zn 2.83, 2 Ga 2.83, 2 Mg 3.08-3.09
Zn1 0.0000 0.0000 0.5782  6 Mg 2.83, 1 Gd 3.09, 2 Y 3.09
Ga1 0.5000 0.1668 0.0784  3 Mg 2.83, 4 Y 3.10-3.11, 2 Gd 3.11

For the total energy, the calculation gives -3.75 eV/atom.